No. 1
A relaxed structure of BaV. Source: Alexandria via LeMat-Bulk, functional PBE-GGA.

Lattice parameters (Å, degrees): 9.093 9.093 5.878 90.00 90.00 120.00
Last column: magnetic moment on the atom in μB.
Positions (direct):
Ba (0.182, 0.818, 0.750)  0.04
Ba (0.182, 0.364, 0.750)  0.04
Ba (0.818, 0.636, 0.250)  0.04
Ba (0.636, 0.818, 0.750)  0.04
Ba (0.364, 0.182, 0.250)  0.04
Ba (0.818, 0.182, 0.250)  0.04
V (0.586, 0.172, 0.750)  0.40
V (0.414, 0.828, 0.250)  0.40
V (0.586, 0.414, 0.750)  0.40
V (0.414, 0.586, 0.250)  0.40
V (0.828, 0.414, 0.750)  0.40
V (0.172, 0.586, 0.250)  0.40

SG: P6_3/mmc
E_form in eV/atom: 0.814
Crystal system: hexagonal

=====

No. 2
A relaxed structure of BaV. Source: Alexandria via LeMat-Bulk, functional PBE-GGA.

Lattice parameters (Å, degrees): 10.837 4.613 11.950 90.00 90.00 90.00
Last column: magnetic moment on the atom in μB.
Positions (direct):
Ba (0.601, 0.750, 0.237)  0.00
Ba (0.350, 0.250, 0.429)  0.01
Ba (0.150, 0.750, 0.929)  0.01
Ba (0.101, 0.750, 0.263)  0.00
Ba (0.399, 0.250, 0.763)  0.00
Ba (0.650, 0.750, 0.571)  0.01
Ba (0.850, 0.250, 0.071)  0.01
Ba (0.899, 0.250, 0.737)  0.00
V (0.951, 0.750, 0.521)  -0.38
V (0.549, 0.250, 0.021)  -0.38
V (0.620, 0.750, 0.924)  0.90
V (0.120, 0.750, 0.576)  0.90
V (0.880, 0.250, 0.424)  0.90
V (0.451, 0.750, 0.979)  -0.38
V (0.380, 0.250, 0.076)  0.90
V (0.049, 0.250, 0.479)  -0.38

SG: Pnma
E_form in eV/atom: 0.647
Crystal system: orthorhombic

=====

No. 3
A relaxed structure of BaV. Source: Alexandria via LeMat-Bulk, functional PBE-GGA.

Lattice parameters (Å, degrees): 12.881 4.055 8.270 90.00 90.00 90.00
Last column: magnetic moment on the atom in μB.
Positions (direct):
Ba (0.797, 0.000, 0.235)  0.02
Ba (0.000, 0.500, 0.894)  -0.03
Ba (0.297, 0.500, 0.735)  0.02
Ba (0.203, 0.000, 0.235)  0.02
Ba (0.500, 0.000, 0.394)  -0.03
Ba (0.703, 0.500, 0.735)  0.02
V (0.500, 0.000, 0.958)  1.44
V (0.920, 0.000, 0.590)  -0.49
V (0.580, 0.500, 0.090)  -0.49
V (0.420, 0.500, 0.090)  -0.49
V (0.000, 0.500, 0.458)  1.44
V (0.080, 0.000, 0.590)  -0.49

SG: Imm2
E_form in eV/atom: 0.714
Crystal system: orthorhombic

=====

No. 4
A relaxed structure of Ba4V. Source: Alexandria via LeMat-Bulk, functional PBE-GGA.

Lattice parameters (Å, degrees): 6.649 6.649 6.649 90.00 90.00 90.00
Last column: magnetic moment on the atom in μB.
Positions (direct):
V (0.500, 0.500, 0.500)  3.16
Ba (0.000, 0.500, 0.500)  0.12
Ba (0.500, 0.000, 0.500)  0.12
Ba (0.000, 0.000, 0.000)  -0.03
Ba (0.500, 0.500, 0.000)  0.12

SG: Pm-3m
E_form in eV/atom: 0.504
Crystal system: cubic

=====

No. 5
A relaxed structure of BaV. Source: Alexandria via LeMat-Bulk, functional PBE-GGA.

Lattice parameters (Å, degrees): 7.013 7.013 7.013 90.00 90.00 90.00
Last column: magnetic moment on the atom in μB.
Positions (direct):
Ba (0.500, 0.000, 0.000)  0.24
Ba (0.000, 0.000, 0.500)  0.24
Ba (0.000, 0.500, 0.000)  0.24
Ba (0.500, 0.500, 0.500)  0.24
V (0.000, 0.000, 0.000)  3.20
V (0.000, 0.500, 0.500)  3.20
V (0.500, 0.000, 0.500)  3.20
V (0.500, 0.500, 0.000)  3.20

SG: Fm-3m
E_form in eV/atom: 1.442
Crystal system: cubic

=====

No. 6
A relaxed structure of BaV. Source: Alexandria via LeMat-Bulk, functional PBE-GGA.

Lattice parameters (Å, degrees): 9.594 9.594 9.594 90.00 90.00 90.00
Last column: magnetic moment on the atom in μB.
Positions (direct):
Ba (0.500, 0.750, 0.000)  0.26
Ba (0.500, 0.250, 0.000)  0.26
Ba (0.000, 0.500, 0.250)  0.26
Ba (0.000, 0.500, 0.750)  0.26
Ba (0.750, 0.000, 0.500)  0.26
Ba (0.250, 0.000, 0.500)  0.26
V (0.500, 0.000, 0.250)  3.23
V (0.250, 0.500, 0.000)  3.23
V (0.750, 0.500, 0.000)  3.23
V (0.000, 0.250, 0.500)  3.23
V (0.000, 0.750, 0.500)  3.23
V (0.500, 0.000, 0.750)  3.23

SG: Pm-3n
E_form in eV/atom: 1.940
Crystal system: cubic

=====

No. 7
A relaxed structure of BaV. Source: Alexandria via LeMat-Bulk, functional PBE-GGA.

Lattice parameters (Å, degrees): 12.821 12.821 3.971 90.00 90.00 90.00
Last column: magnetic moment on the atom in μB.
Positions (direct):
Ba (0.000, 0.752, 0.500)  0.03
Ba (0.500, 0.252, 0.000)  0.03
Ba (0.752, 0.000, 0.500)  0.03
Ba (0.500, 0.748, 0.000)  0.03
Ba (0.248, 0.000, 0.500)  0.03
Ba (0.000, 0.248, 0.500)  0.03
Ba (0.252, 0.500, 0.000)  0.03
Ba (0.748, 0.500, 0.000)  0.03
V (0.774, 0.226, 0.000)  0.30
V (0.774, 0.774, 0.000)  0.30
V (0.726, 0.726, 0.500)  0.30
V (0.226, 0.226, 0.000)  0.30
V (0.274, 0.726, 0.500)  0.30
V (0.226, 0.774, 0.000)  0.30
V (0.726, 0.274, 0.500)  0.30
V (0.274, 0.274, 0.500)  0.30

SG: I4/mmm
E_form in eV/atom: 0.983
Crystal system: tetragonal

=====

No. 8
A relaxed structure of BaV. Source: Alexandria via LeMat-Bulk, functional PBE-GGA.

Lattice parameters (Å, degrees): 11.513 11.513 4.575 90.00 90.00 90.00
Positions (direct):
V (0.026, 0.416, 0.500)
V (0.584, 0.026, 0.500)
V (0.084, 0.526, 0.000)
V (0.526, 0.916, 0.000)
V (0.916, 0.474, 0.000)
V (0.974, 0.584, 0.500)
V (0.474, 0.084, 0.000)
V (0.416, 0.974, 0.500)
Ba (0.721, 0.401, 0.500)
Ba (0.401, 0.279, 0.500)
Ba (0.779, 0.099, 0.000)
Ba (0.279, 0.599, 0.500)
Ba (0.901, 0.779, 0.000)
Ba (0.599, 0.721, 0.500)
Ba (0.099, 0.221, 0.000)
Ba (0.221, 0.901, 0.000)

SG: I4/m
E_form in eV/atom: 0.603
Crystal system: tetragonal

=====

No. 9
A relaxed structure of BaV. Source: Alexandria via LeMat-Bulk, functional PBE-GGA.

Lattice parameters (Å, degrees): 7.694 7.694 7.694 90.00 90.00 90.00
Last column: magnetic moment on the atom in μB.
Positions (direct):
V (0.750, 0.750, 0.250)  3.31
V (0.250, 0.250, 0.250)  3.31
V (0.750, 0.250, 0.750)  3.31
V (0.250, 0.750, 0.750)  3.31
Ba (0.000, 0.500, 0.500)  0.30
Ba (0.000, 0.000, 0.000)  0.30
Ba (0.500, 0.500, 0.000)  0.30
Ba (0.500, 0.000, 0.500)  0.30

SG: F-43m
E_form in eV/atom: 1.877
Crystal system: cubic

=====

No. 10
A relaxed structure of BaV. Source: Alexandria via LeMat-Bulk, functional PBE-GGA.

Lattice parameters (Å, degrees): 10.617 15.496 6.477 90.00 90.00 90.00
Positions (direct):
Ba (0.832, 0.500, 0.000)
Ba (0.918, 0.750, 0.250)
Ba (0.918, 0.250, 0.750)
Ba (0.082, 0.250, 0.250)
Ba (0.668, 0.500, 0.500)
Ba (0.582, 0.750, 0.250)
Ba (0.582, 0.250, 0.750)
Ba (0.332, 0.500, 0.500)
Ba (0.168, 0.500, 0.000)
Ba (0.082, 0.750, 0.750)
Ba (0.332, 0.000, 0.000)
Ba (0.418, 0.750, 0.750)
Ba (0.418, 0.250, 0.250)
Ba (0.168, 0.000, 0.500)
Ba (0.668, 0.000, 0.000)
Ba (0.832, 0.000, 0.500)
V (0.250, 0.690, 0.250)
V (0.500, 0.440, 0.000)
V (0.000, 0.940, 0.000)
V (0.000, 0.440, 0.500)
V (0.750, 0.810, 0.750)
V (0.000, 0.060, 0.000)
V (0.500, 0.060, 0.500)
V (0.750, 0.190, 0.250)
V (0.500, 0.940, 0.500)
V (0.750, 0.310, 0.250)
V (0.250, 0.310, 0.750)
V (0.250, 0.190, 0.750)
V (0.500, 0.560, 0.000)
V (0.000, 0.560, 0.500)
V (0.250, 0.810, 0.250)
V (0.750, 0.690, 0.750)

SG: Fddd
E_form in eV/atom: 0.812
Crystal system: orthorhombic

=====

No. 11
A relaxed structure of BaV. Source: Alexandria via LeMat-Bulk, functional PBE-GGA.

Lattice parameters (Å, degrees): 6.984 6.984 6.631 90.00 90.00 90.00
Positions (direct):
V (0.408, 0.592, 0.000)
V (0.092, 0.092, 0.500)
V (0.592, 0.408, 0.000)
V (0.908, 0.908, 0.500)
Ba (0.823, 0.823, 0.000)
Ba (0.177, 0.177, 0.000)
Ba (0.323, 0.677, 0.500)
Ba (0.677, 0.323, 0.500)

SG: P4_2/mnm
E_form in eV/atom: 1.044
Crystal system: tetragonal

=====

No. 12
A relaxed structure of BaV2W. Source: Alexandria via LeMat-Bulk, functional PBE-GGA.

Lattice parameters (Å, degrees): 4.812 4.812 4.812 60.00 60.00 60.00
Last column: magnetic moment on the atom in μB.
Positions (direct):
Ba (0.000, 0.000, 0.000)  0.10
V (0.250, 0.250, 0.250)  1.65
V (0.750, 0.750, 0.750)  1.65
W (0.500, 0.500, 0.500)  -0.87

SG: Fm-3m
E_form in eV/atom: 1.260
Crystal system: cubic